No. 1
Below is crystalline SnSb12Pd4 at its relaxed geometry, with properties calculated at the PBE level.

Computed properties:
Total DFT energy (no corrections) in eV per atom: -4.572

Unit cell a=8.3079 b=8.3079 c=8.3079 alpha=109.47 beta=109.47 gamma=109.47
Closest atoms and distances in Å follow each position.
Element x y z (fractional)
Sb1 0.8467 0.6595 0.5062  2 Pd 2.71, 1 Sb 2.94
Sb2 0.8129 0.1533 0.6595  2 Pd 2.71, 1 Sb 2.94
Sb3 0.1871 0.8467 0.3405  2 Pd 2.71, 1 Sb 2.94
Sb4 0.5062 0.8467 0.6595  2 Pd 2.71, 1 Sb 2.94
Sb5 0.6595 0.8129 0.1533  2 Pd 2.71, 1 Sb 2.94
Sb6 0.1533 0.3405 0.4938  2 Pd 2.71, 1 Sb 2.94
Sb7 0.3405 0.4938 0.1533  2 Pd 2.71, 1 Sb 2.94
Sb8 0.3405 0.1871 0.8467  2 Pd 2.71, 1 Sb 2.94
Sb9 0.1533 0.6595 0.8129  2 Pd 2.71, 1 Sb 2.94
Sb10 0.6595 0.5062 0.8467  2 Pd 2.71, 1 Sb 2.94
Sb11 0.4938 0.1533 0.3405  2 Pd 2.71, 1 Sb 2.94
Sb12 0.8467 0.3405 0.1871  2 Pd 2.71, 1 Sb 2.94
Pd1 0.5000 0.5000 0.5000  6 Sb 2.71
Pd2 0.5000 0.0000 0.0000  6 Sb 2.71
Pd3 0.0000 0.0000 0.5000  6 Sb 2.71
Pd4 0.0000 0.5000 0.0000  6 Sb 2.71
Sn1 0.0000 0.0000 0.0000  12 Sb 3.58

***

No. 2
Below is crystalline SnSb2Pd5 at its relaxed geometry, with properties calculated at the PBE level.

Computed properties:
Total DFT energy (no corrections) in eV per atom: -5.038

Unit cell a=3.1527 b=7.8254 c=13.9635 alpha=90.00 beta=90.00 gamma=101.62
Closest atoms and distances in Å follow each position.
Element x y z (fractional)
Pd1 0.2171 0.4343 0.7500  2 Sb 2.75, 2 Sn 2.79, 4 Pd 2.90
Pd2 0.2312 0.4624 0.0850  3 Sb 2.69-2.81, 1 Sn 2.76, 5 Pd 2.86-2.91
Pd3 0.7688 0.5376 0.5850  3 Sb 2.69-2.81, 1 Sn 2.76, 5 Pd 2.86-2.91
Pd4 0.2312 0.4624 0.4150  3 Sb 2.69-2.81, 1 Sn 2.76, 5 Pd 2.86-2.91
Pd5 0.0446 0.0892 0.0898  1 Sn 2.61, 2 Sb 2.62-2.69, 2 Pd 2.86
Pd6 0.9554 0.9108 0.9102  1 Sn 2.61, 2 Sb 2.62-2.69, 2 Pd 2.86
Pd7 0.7829 0.5657 0.2500  2 Sb 2.75, 2 Sn 2.79, 4 Pd 2.90
Pd8 0.9554 0.9108 0.5898  1 Sn 2.61, 2 Sb 2.62-2.69, 2 Pd 2.86
Pd9 0.0446 0.0892 0.4102  1 Sn 2.61, 2 Sb 2.62-2.69, 2 Pd 2.86
Pd10 0.7688 0.5376 0.9150  3 Sb 2.69-2.81, 1 Sn 2.76, 5 Pd 2.86-2.91
Sn1 0.1326 0.2652 0.2500  6 Pd 2.61-2.79
Sn2 0.8674 0.7348 0.7500  6 Pd 2.61-2.79
Sb1 0.8736 0.7473 0.4196  6 Pd 2.62-2.81
Sb2 0.1264 0.2527 0.9196  6 Pd 2.62-2.81
Sb3 0.1264 0.2527 0.5804  6 Pd 2.62-2.81
Sb4 0.8736 0.7473 0.0804  6 Pd 2.62-2.81

***

No. 3
Below is crystalline SnSbPd2 at its relaxed geometry, with properties calculated at the PBE level.

Computed properties:
Total DFT energy (no corrections) in eV per atom: -4.930
Distance to the lowest polymorph of the same formula in meV per atom: 179

Unit cell a=4.7948 b=4.7948 c=4.7948 alpha=60.00 beta=60.00 gamma=60.00
Closest atoms and distances in Å follow each position.
Element x y z (fractional)
Pd1 0.2500 0.2500 0.2500  4 Sb 2.94, 4 Sn 2.94
Pd2 0.7500 0.7500 0.7500  4 Sb 2.94, 4 Sn 2.94
Sn1 0.0000 0.0000 0.0000  8 Pd 2.94
Sb1 0.5000 0.5000 0.5000  8 Pd 2.94

***

No. 4
Below is crystalline SnSbPd3 at its relaxed geometry, with properties calculated at the PBE level.

Computed properties:
Total DFT energy (no corrections) in eV per atom: -4.567
Distance to the lowest polymorph of the same formula in meV per atom: 594

Unit cell a=4.9572 b=4.9572 c=4.9572 alpha=90.00 beta=90.00 gamma=90.00
Closest atoms and distances in Å follow each position.
Element x y z (fractional)
Pd1 0.5000 0.0000 0.0000  2 Sb 2.48
Pd2 0.0000 0.5000 0.0000  2 Sb 2.48
Pd3 0.0000 0.0000 0.5000  2 Sb 2.48
Sb1 0.0000 0.0000 0.0000  6 Pd 2.48
Sn1 0.5000 0.5000 0.5000  12 Pd 3.51

***

No. 5
Below is crystalline Sn2Sb3Pd8 at its relaxed geometry, with properties calculated at the PBE level.

Computed properties:
Total DFT energy (no corrections) in eV per atom: -4.992

Unit cell a=5.4775 b=5.4775 c=10.2024 alpha=74.43 beta=74.43 gamma=60.00
Closest atoms and distances in Å follow each position.
Element x y z (fractional)
Sn1 0.3693 0.3693 0.8921  4 Pd 2.60-2.74
Sn2 0.6307 0.6307 0.1079  4 Pd 2.60-2.74
Pd1 0.7802 0.2789 0.6621  4 Pd 2.73-2.75, 1 Sn 2.74, 3 Sb 2.78-2.87
Pd2 0.2789 0.2789 0.6621  4 Pd 2.73-2.75, 1 Sn 2.74, 3 Sb 2.78-2.87
Pd3 0.2798 0.2798 0.1606  1 Sb 2.58, 1 Sn 2.60
Pd4 0.7211 0.7211 0.3379  4 Pd 2.73-2.75, 1 Sn 2.74, 3 Sb 2.78-2.87
Pd5 0.7202 0.7202 0.8394  1 Sb 2.58, 1 Sn 2.60
Pd6 0.2789 0.7802 0.6621  4 Pd 2.73-2.75, 1 Sn 2.74, 3 Sb 2.78-2.87
Pd7 0.2198 0.7211 0.3379  4 Pd 2.73-2.75, 1 Sn 2.74, 3 Sb 2.78-2.87
Pd8 0.7211 0.2198 0.3379  4 Pd 2.73-2.75, 1 Sn 2.74, 3 Sb 2.78-2.87
Sb1 0.8088 0.8088 0.5737  10 Pd 2.58-2.87
Sb2 0.0000 0.0000 0.0000  6 Sn 3.33, 12 Pd 3.53-3.64
Sb3 0.1912 0.1912 0.4263  10 Pd 2.58-2.87

***

No. 6
Below is crystalline SnSbPd2 at its relaxed geometry, with properties calculated at the PBE level.

Computed properties:
Total DFT energy (no corrections) in eV per atom: -4.951
Distance to the lowest polymorph of the same formula in meV per atom: 158

Unit cell a=3.3786 b=3.3786 c=6.8215 alpha=90.00 beta=90.00 gamma=90.00
Closest atoms and distances in Å follow each position.
Element x y z (fractional)
Sb1 0.5000 0.5000 0.5000  8 Pd 2.98
Pd1 0.0000 0.0000 0.2380  4 Sn 2.89, 4 Sb 2.98
Pd2 0.0000 0.0000 0.7620  4 Sn 2.89, 4 Sb 2.98
Sn1 0.5000 0.5000 0.0000  8 Pd 2.89

***

No. 7
Below is crystalline SnSb3Pd6 at its relaxed geometry, with properties calculated at the PBE level.

Computed properties:
Total DFT energy (no corrections) in eV per atom: -5.083

Unit cell a=3.3478 b=9.7730 c=13.1887 alpha=116.94 beta=90.00 gamma=90.00
Closest atoms and distances in Å follow each position.
Element x y z (fractional)
Sn1 0.2500 0.8991 0.2709  7 Pd 2.73-2.83
Sn2 0.7500 0.1009 0.7291  7 Pd 2.73-2.83
Pd1 0.7500 0.7342 0.3414  3 Sb 2.73-2.82, 2 Sn 2.76, 5 Pd 3.00-3.02
Pd2 0.2500 0.9190 0.5471  2 Sb 2.79, 2 Sn 2.80, 5 Pd 2.94-3.02
Pd3 0.7500 0.0810 0.4529  2 Sb 2.79, 2 Sn 2.80, 5 Pd 2.94-3.02
Pd4 0.7500 0.5108 0.6423  4 Sb 2.67-2.73, 1 Pd 2.85
Pd5 0.7500 0.3679 0.9869  4 Sb 2.70-2.75, 4 Pd 2.89-2.96
Pd6 0.7500 0.9026 0.0989  3 Sb 2.77-2.83, 2 Sn 2.83, 4 Pd 2.89-2.93
Pd7 0.2500 0.6321 0.0131  4 Sb 2.70-2.75, 4 Pd 2.89-2.96
Pd8 0.2500 0.2658 0.6586  3 Sb 2.73-2.82, 2 Sn 2.76, 5 Pd 3.00-3.02
Pd9 0.2500 0.4892 0.3577  4 Sb 2.67-2.73, 1 Pd 2.85
Pd10 0.2500 0.0974 0.9011  3 Sb 2.77-2.83, 2 Sn 2.83, 4 Pd 2.89-2.93
Pd11 0.2500 0.1624 0.2475  3 Sb 2.66-2.71, 1 Sn 2.73, 3 Pd 2.85-2.93
Pd12 0.7500 0.8376 0.7525  3 Sb 2.66-2.71, 1 Sn 2.73, 3 Pd 2.85-2.93
Sb1 0.2500 0.5250 0.1690  6 Pd 2.67-2.82
Sb2 0.7500 0.4750 0.8310  6 Pd 2.67-2.82
Sb3 0.2500 0.8171 0.9066  6 Pd 2.71-2.83
Sb4 0.2500 0.3207 0.4734  7 Pd 2.66-2.79
Sb5 0.7500 0.6793 0.5266  7 Pd 2.66-2.79
Sb6 0.7500 0.1829 0.0934  6 Pd 2.71-2.83

***

No. 8
Below is crystalline Sn2Sb3Pd4 at its relaxed geometry, with properties calculated at the PBE level.

Computed properties:
Total DFT energy (no corrections) in eV per atom: -4.877

Unit cell a=4.0873 b=5.9472 c=9.1012 alpha=106.10 beta=90.00 gamma=110.10
Closest atoms and distances in Å follow each position.
Element x y z (fractional)
Pd1 0.3391 0.6781 0.8714  3 Sb 2.69-2.74, 3 Sn 2.78-2.79, 1 Pd 2.88
Pd2 0.1255 0.2510 0.6003  3 Sb 2.69-2.82, 2 Sn 2.82, 2 Pd 2.86-2.88
Pd3 0.8745 0.7490 0.3997  3 Sb 2.69-2.82, 2 Sn 2.82, 2 Pd 2.86-2.88
Pd4 0.6609 0.3219 0.1286  3 Sb 2.69-2.74, 3 Sn 2.78-2.79, 1 Pd 2.88
Sn1 0.6618 0.3235 0.8231  5 Pd 2.78-2.82
Sn2 0.3382 0.6765 0.1769  5 Pd 2.78-2.82
Sb1 0.6235 0.2471 0.4070  4 Pd 2.69-2.82
Sb2 0.3765 0.7529 0.5930  4 Pd 2.69-2.82
Sb3 0.0000 0.0000 0.0000  4 Pd 2.74

***

No. 9
Below is crystalline Sn5Sb4Pd at its relaxed geometry, with properties calculated at the PBE level.

Computed properties:
Total DFT energy (no corrections) in eV per atom: -4.180

Unit cell a=4.2764 b=4.2764 c=15.4783 alpha=97.94 beta=97.94 gamma=90.00
Closest atoms and distances in Å follow each position.
Element x y z (fractional)
Sb1 0.3971 0.3971 0.7942  6 Sn 3.05-3.12
Sb2 0.1944 0.1944 0.3887  6 Sn 3.04-3.20
Sb3 0.8056 0.8056 0.6113  6 Sn 3.04-3.20
Sb4 0.6029 0.6029 0.2058  6 Sn 3.05-3.12
Sn1 0.0888 0.0888 0.1776  1 Pd 2.70
Sn2 0.9112 0.9112 0.8224  1 Pd 2.70
Sn3 0.7036 0.7036 0.4072  6 Sb 3.04-3.10
Sn4 0.2964 0.2964 0.5928  6 Sb 3.04-3.10
Sn5 0.5000 0.5000 0.0000  4 Pd 3.02, 2 Sb 3.12
Pd1 0.0000 0.0000 0.0000  2 Sn 2.70

***

No. 10
Below is crystalline SnSbPd2 at its relaxed geometry, with properties calculated at the PBE level.

Computed properties:
Total DFT energy (no corrections) in eV per atom: -4.752
Distance to the lowest polymorph of the same formula in meV per atom: 357

Unit cell a=7.4534 b=7.4534 c=6.0974 alpha=52.32 beta=52.32 gamma=90.00
Closest atoms and distances in Å follow each position.
Element x y z (fractional)
Pd1 0.3750 0.3747 0.7500  2 Sb 2.74, 2 Sn 2.75, 2 Pd 3.07
Pd2 0.1247 0.6250 0.2500  2 Sb 2.74, 2 Sn 2.75, 2 Pd 3.07
Pd3 0.8750 0.8753 0.7500  2 Sb 2.74, 2 Sn 2.75, 2 Pd 3.07
Pd4 0.6253 0.1250 0.2500  2 Sb 2.74, 2 Sn 2.75, 2 Pd 3.07
Sn1 0.2500 0.7500 0.5000  4 Pd 2.75, 2 Sb 3.07
Sn2 0.5000 0.5000 0.0000  4 Pd 2.75, 2 Sb 3.07
Sb1 0.0000 0.0000 0.0000  4 Pd 2.74, 2 Sn 3.07
Sb2 0.7500 0.2500 0.5000  4 Pd 2.74, 2 Sn 3.07

***

No. 11
Below is crystalline SnSbPd2 at its relaxed geometry, with properties calculated at the PBE level.

Computed properties:
Total DFT energy (no corrections) in eV per atom: -4.915
Distance to the lowest polymorph of the same formula in meV per atom: 194

Unit cell a=4.1109 b=4.1109 c=6.3099 alpha=70.99 beta=70.99 gamma=60.00
Closest atoms and distances in Å follow each position.
Element x y z (fractional)
Sb1 0.4961 0.4961 0.5118  6 Pd 2.76-2.83, 1 Sn 3.07
Pd1 0.0825 0.0825 0.7524  3 Sn 2.74, 3 Sb 2.76, 1 Pd 2.94
Pd2 0.2502 0.2502 0.2494  3 Sb 2.83, 3 Sn 2.83, 1 Pd 2.94
Sn1 0.6712 0.6712 0.9864  6 Pd 2.74-2.83

***

Number 1: size of the total moment 0.00 μB per cell. Number 2: size of the total moment 0.00 μB per cell. Number 3: size of the total moment 0.00 μB per cell. Number 4: size of the total moment 0.00 μB per cell. Number 5: size of the total moment 0.00 μB per cell. Number 6: size of the total moment 0.00 μB per cell. Number 7: size of the total moment 0.00 μB per cell. Number 8: size of the total moment 0.00 μB per cell. Number 9: size of the total moment 0.00 μB per cell. Number 10: size of the total moment 0.00 μB per cell. Number 11: size of the total moment 0.00 μB per cell.